# GGA-PBE Ac3Bi4Pt3, relaxed
data_Ac3Bi4Pt3
_chemical_formula_sum 'Ac12 Bi16 Pt12'
_symmetry_space_group_name_H-M 'I -4 3 d'
_symmetry_Int_Tables_number 220
_symmetry_space_group_name_Hall 'I -4bd 2c 3'
_cell_length_a 10.471
_cell_length_b 10.471
_cell_length_c 10.471
_cell_angle_alpha 90.00
_cell_angle_beta 90.00
_cell_angle_gamma 90.00
loop_
_atom_site_label
_atom_site_fract_x
_atom_site_fract_y
_atom_site_fract_z
_atom_site_occupancy
Ac1 0.000 0.250 0.375 1
Bi1 0.084 0.084 0.084 1
Pt1 0.000 0.250 0.875 1
# Crystal system   cubic
# Calculated total energy   -5.556 eV/atom